1.
Computed, not measured: a geometry-optimized LiRe2P structure at the PBE-GGA level of DFT.

abc: 8.479 8.479 8.479
angles: 19.17 19.17 19.17
Element x y z (fractional)
Li  0.250  0.250  0.250
Re  0.010  0.010  0.010
Re  0.490  0.490  0.490
P  0.750  0.750  0.750

Results
- E_form: 0.1548 eV/atom
- Calculated density: 11859 kg/m3


2.
Computed, not measured: a geometry-optimized CoSi2Au structure at the PBE-GGA level of DFT.

abc: 4.492 4.492 4.492
angles: 127.63 127.63 77.23
Element x y z (fractional)
Si  0.500  0.500  0.000
Co  0.750  0.250  0.500
Au  0.250  0.750  0.500
Si  0.000  0.000  0.000

Results
- ΔE_f (raw): 228 meV/atom
- Offset from the most stable computed form: 350.7 meV/atom
- Calculated density: 9393 kg/m3


3.
Computed, not measured: a geometry-optimized HfReH2 structure at the PBE-GGA level of DFT.

abc: 3.898 3.898 3.898
angles: 60.00 60.00 60.00
Element x y z (fractional)
Hf  0.000  0.000  0.000
Re  0.500  0.500  0.500
H  0.750  0.750  0.750
H  0.250  0.250  0.250

Results
- Offset from the most stable computed form: 568.0 meV/atom
- Calculated density: 14543 kg/m3


4.
Computed, not measured: a geometry-optimized Ba2SmMnS5 structure at the PBE-GGA level of DFT.

abc: 4.192 9.299 13.016
angles: 90.00 90.00 103.03
Site moments in Bohr magnetons follow the coordinates.
Element x y z (fractional)
Ba  0.125  0.251  0.340  0.01
Mn  0.558  0.116  0.923  3.49
S  0.500  0.000  0.272  0.02
Sm  0.801  0.602  0.532  0.01
Sm  0.199  0.398  0.032  0.01
Ba  0.124  0.248  0.693  0.01
S  0.316  0.633  0.381  0.04
S  0.038  0.075  0.994  -0.04
S  0.684  0.367  0.881  0.04
S  0.653  0.307  0.517  0.01
Ba  0.875  0.749  0.840  0.01
S  0.347  0.693  0.017  0.01
Ba  0.876  0.752  0.193  0.01
S  0.696  0.392  0.172  0.01
S  0.962  0.925  0.494  -0.04
S  0.304  0.608  0.672  0.01
S  0.500  0.000  0.772  0.02
Mn  0.442  0.884  0.423  3.49

Results
- ΔE_f (raw): -1656 meV/atom
- Calculated density: 4302 kg/m3


5.
Computed, not measured: a geometry-optimized AlNi12B6 structure at the PBE-GGA level of DFT.

abc: 6.151 6.151 6.151
angles: 109.47 109.47 109.47
Element x y z (fractional)
B  0.621  0.500  0.121
Ni  0.818  0.696  0.514
Al  0.000  0.000  0.000
Ni  0.818  0.304  0.122
Ni  0.696  0.878  0.182
B  0.379  0.500  0.879
Ni  0.182  0.304  0.486
Ni  0.182  0.696  0.878
B  0.500  0.121  0.621
B  0.500  0.879  0.379
Ni  0.122  0.818  0.304
B  0.879  0.379  0.500
B  0.121  0.621  0.500
Ni  0.304  0.486  0.182
Ni  0.878  0.182  0.696
Ni  0.514  0.818  0.696
Ni  0.304  0.122  0.818
Ni  0.486  0.182  0.304
Ni  0.696  0.514  0.818

Results
- E_form: -0.2464 eV/atom
- Calculated density: 7378 kg/m3


6.
Computed, not measured: a geometry-optimized ZrTaCl structure at the PBE-GGA level of DFT.

abc: 8.079 8.079 8.079
angles: 158.46 158.46 30.65
Element x y z (fractional)
Ta  0.296  0.296  0.000
Cl  0.044  0.044  0.000
Zr  0.660  0.660  0.000

Results
- ΔE_f (raw): -96 meV/atom
- Offset from the most stable computed form: 182.8 meV/atom
- Calculated density: 7189 kg/m3


7.
Computed, not measured: a geometry-optimized BeCo2Br structure at the PBE-GGA level of DFT.

abc: 3.492 3.188 5.737
angles: 102.60 90.00 90.00
Site moments in Bohr magnetons follow the coordinates.
Element x y z (fractional)
Br  0.500  0.750  0.750  0.08
Co  0.000  0.598  0.403  1.61
Be  0.500  0.250  0.250  -0.09
Co  0.000  0.902  0.097  1.61

Results
- ΔE_f (raw): 435 meV/atom
- Offset from the most stable computed form: 115.6 meV/atom
- Calculated density: 5509 kg/m3


8.
Computed, not measured: a geometry-optimized CoHIr2W structure at the PBE-GGA level of DFT.

abc: 3.902 3.902 3.812
angles: 90.00 90.00 90.00
Site moments in Bohr magnetons follow the coordinates.
Element x y z (fractional)
Co  0.000  0.000  0.500  0.53
W  0.500  0.500  0.500  -0.01
Ir  0.000  0.500  0.000  0.07
Ir  0.500  0.000  0.000  0.07
H  0.000  0.000  0.000  0.00

Results
- Raw total energy: -8.220 eV per atom
- Calculated density: 17973 kg/m3


9.
Computed, not measured: a geometry-optimized SmHfCu structure at the PBE-GGA level of DFT.

abc: 3.358 3.358 6.358
angles: 105.31 105.31 90.00
Element x y z (fractional)
Cu  0.689  0.689  0.377
Hf  0.306  0.306  0.611
Sm  0.006  0.006  0.011

Results
- E_form: -0.0196 eV/atom
- Offset from the most stable computed form: 55.9 meV/atom
- Calculated density: 9797 kg/m3


10.
Computed, not measured: a geometry-optimized Pr6Y16Er7 structure at the PBE-GGA level of DFT.

abc: 11.244 11.244 11.244
angles: 60.00 60.00 60.00
Site moments in Bohr magnetons follow the coordinates.
Element x y z (fractional)
Pr  0.283  0.717  0.717  0.23
Er  0.500  0.000  0.000  0.09
Y  0.345  0.345  0.345  0.15
Y  0.964  0.345  0.345  0.15
Y  0.345  0.345  0.964  0.15
Y  0.655  0.036  0.655  0.15
Y  0.122  0.122  0.122  0.08
Pr  0.717  0.283  0.283  0.23
Y  0.878  0.878  0.366  0.08
Y  0.122  0.634  0.122  0.08
Y  0.122  0.122  0.634  0.08
Y  0.634  0.122  0.122  0.08
Y  0.878  0.366  0.878  0.08
Pr  0.717  0.717  0.283  0.23
Y  0.878  0.878  0.878  0.08
Er  0.000  0.000  0.500  0.09
Y  0.036  0.655  0.655  0.15
Pr  0.717  0.283  0.717  0.23
Pr  0.283  0.717  0.283  0.23
Er  0.000  0.000  0.000  0.04
Er  0.000  0.500  0.000  0.09
Y  0.655  0.655  0.036  0.15
Er  0.500  0.500  0.000  0.09
Y  0.345  0.964  0.345  0.15
Pr  0.283  0.283  0.717  0.23
Y  0.366  0.878  0.878  0.08
Er  0.000  0.500  0.500  0.09
Y  0.655  0.655  0.655  0.15
Er  0.500  0.000  0.500  0.09

Results
- E_form: 0.2358 eV/atom
- Calculated density: 5680 kg/m3


11.
Computed, not measured: a geometry-optimized AgRhAu2 structure at the PBE-GGA level of DFT.

abc: 9.694 9.694 9.694
angles: 16.99 16.99 16.99
Site moments in Bohr magnetons follow the coordinates.
Element x y z (fractional)
Ag  0.000  0.000  0.000  -0.01
Au  0.752  0.752  0.752  0.00
Rh  0.500  0.500  0.500  0.71
Au  0.248  0.248  0.248  0.00

Results
- E_form: 0.1140 eV/atom
- Offset from the most stable computed form: 33.1 meV/atom
- Calculated density: 14802 kg/m3


12.
Computed, not measured: a geometry-optimized Na2CaTa structure at the PBE-GGA level of DFT.

abc: 5.451 5.451 5.451
angles: 60.00 60.00 60.00
Site moments in Bohr magnetons follow the coordinates.
Element x y z (fractional)
Ta  0.500  0.500  0.500  1.88
Na  0.250  0.250  0.250  0.01
Na  0.750  0.750  0.750  0.01
Ca  0.000  0.000  0.000  0.05

Results
- E_form: 1.1288 eV/atom
- Offset from the most stable computed form: 0.0 meV/atom
- Calculated density: 3871 kg/m3